This record from Alexandria via LeMat-Bulk describes a relaxed TbScGa6 crystal. The functional is PBE-GGA.

Results
space-group type: No. 187
M_tot: 0.0 μB per formula unit
N(E_F): 3.86 states/eV/f.u.
formation energy: -3.85 eV per formula unit

```
TbScGa6
1.0
6.1231 0.0000 0.0000
-3.0616 5.3028 0.0000
0.0000 0.0000 4.5890
Tb Sc Ga
1 1 6
Direct
0.0000 0.0000 0.0000
0.3333 0.6667 0.5000
0.3709 0.1854 0.5000
0.5107 0.0214 0.0000
0.5107 0.4893 0.0000
0.8146 0.1854 0.5000
0.8146 0.6291 0.5000
0.9786 0.4893 0.0000
```